Tm3Hf3Sb2Os | OQMD via LeMat-Bulk | PBE | optimized geometry; polymorph energy (0 for the lowest one) = 0 meV/atom; volume = 214.01 Å³/f.u.
1.0
-1.8988 -5.1971 5.6026
4.2890 -2.2820 -6.1969
3.3393 0.9102 1.9761
Tm Sb Hf Os
3 2 3 1
Cartesian
2.5892 -1.3776 -3.7409 Tm
-1.1462 -3.1374 3.3821 Tm
0.9473 -2.9642 -0.2355 Tm
1.8335 -3.7703 2.6575 Sb
3.8961 -2.7986 -1.2757 Sb
3.5017 -5.2774 0.5325 Hf
2.6713 -0.0779 -0.4592 Hf
1.2262 -0.7587 2.2965 Hf
0.0000 0.0000 0.0000 Os

Hf3Zr3Sb2Os | OQMD via LeMat-Bulk | PBE | optimized geometry; polymorph energy (0 for the lowest one) = 84 meV/atom; volume = 194.57 Å³/f.u.
1.0
7.8756 0.0000 0.0000
-3.9378 6.8204 0.0000
0.0000 0.0000 3.6222
Hf Sb Zr Os
3 2 3 1
Cartesian
1.5604 2.7027 0.0000 Hf
-2.3774 4.1177 0.0000 Hf
4.7548 0.0000 0.0000 Hf
3.9378 2.2735 1.8111 Sb
0.0000 4.5470 1.8111 Sb
1.9824 0.0000 1.8111 Zr
2.9466 5.1036 1.8111 Zr
-0.9912 1.7168 1.8111 Zr
0.0000 0.0000 0.0000 Os